Entry 1:
This record from the Alexandria database describes crystalline LiAlSnPt at its relaxed geometry. The functional is PBE-GGA.

Results
ΔH_f (0 K) ... -0.524 eV/atom
M_tot ... 0.00 μB/cell

a = 6.4161 Å, b = 6.4161 Å, c = 6.4161 Å
α = 90.00°, β = 90.00°, γ = 90.00°
Space group F-43m (No. 216)
Unique sites:
Li1 0.0000 0.0000 0.0000 (multiplicity 4)
Al1 0.2500 0.2500 0.7500 (multiplicity 4)
Sn1 0.2500 0.2500 0.2500 (multiplicity 4)
Pt1 0.0000 0.0000 0.5000 (multiplicity 4)

=====

Entry 2:
This record from the Alexandria database describes crystalline Ni2AgSb2 at its relaxed geometry. The functional is PBE-GGA.

Results
Formation energy without anion corrections ... 0.141 eV per atom
M_tot ... 0.00 μB/cell
Distance to the lowest polymorph of the same formula ... 127 meV per atom

a = 4.2264 Å, b = 4.2264 Å, c = 11.1152 Å
α = 90.00°, β = 90.00°, γ = 90.00°
Space group I4/mmm (No. 139)
Unique sites:
Ni1 0.0000 0.5000 0.2500 (multiplicity 4)
Ag1 0.0000 0.0000 0.0000 (multiplicity 2)
Sb1 0.0000 0.0000 0.3712 (multiplicity 4)

=====

Entry 3:
This record from the Alexandria database describes crystalline Li2TaPd at its relaxed geometry. The functional is PBE-GGA.

Results
ΔH_f (0 K) ... 0.378 eV/atom
M_tot ... 0.00 μB/cell
Distance to the lowest polymorph of the same formula ... 0 meV per atom

a = 6.0661 Å, b = 6.0661 Å, c = 6.0661 Å
α = 90.00°, β = 90.00°, γ = 90.00°
Space group Fm-3m (No. 225)
Unique sites:
Li1 0.2500 0.2500 0.2500 (multiplicity 8)
Ta1 0.0000 0.0000 0.0000 (multiplicity 4)
Pd1 0.0000 0.0000 0.5000 (multiplicity 4)

=====

Entry 4:
This record from the Alexandria database describes crystalline ZrCd2Cu2 at its relaxed geometry. The functional is PBE-GGA.

Results
ΔH_f (0 K) ... 0.043 eV/atom
M_tot ... 0.00 μB/cell
Distance to the lowest polymorph of the same formula ... 0 meV per atom

a = 7.7499 Å, b = 7.7499 Å, c = 2.9412 Å
α = 90.00°, β = 90.00°, γ = 90.00°
Space group P4/mbm (No. 127)
Unique sites:
Zr1 0.0000 0.0000 0.0000 (multiplicity 2)
Cd1 0.1736 0.3264 0.5000 (multiplicity 4)
Cu1 0.1217 0.6217 0.0000 (multiplicity 4)

=====

Entry 5:
This record from the Alexandria database describes crystalline NbTcMoOs at its relaxed geometry. The functional is PBE-GGA.

Results
ΔH_f (0 K) ... 0.000 eV/atom
M_tot ... 0.00 μB/cell

a = 6.3162 Å, b = 6.3162 Å, c = 6.3162 Å
α = 90.00°, β = 90.00°, γ = 90.00°
Space group F-43m (No. 216)
Unique sites:
Nb1 0.0000 0.0000 0.0000 (multiplicity 4)
Tc1 0.2500 0.2500 0.2500 (multiplicity 4)
Mo1 0.0000 0.0000 0.5000 (multiplicity 4)
Os1 0.2500 0.2500 0.7500 (multiplicity 4)

=====

Entry 6:
This record from the Alexandria database describes crystalline Ti7Sn2Ge2 at its relaxed geometry. The functional is PBE-GGA.

Results
ΔH_f (0 K) ... -0.073 eV/atom
M_tot ... 2.18 μB/cell

a = 7.8539 Å, b = 9.5164 Å, c = 5.8799 Å
α = 90.00°, β = 90.00°, γ = 90.00°
Space group Cmmm (No. 65)
Unique sites:
Ti1 0.0000 0.0000 0.0000 (multiplicity 2)
Ti2 0.0000 0.5000 0.2550 (multiplicity 4)
Ti3 0.2500 0.2500 0.2623 (multiplicity 8)
Sn1 0.1826 0.0000 0.5000 (multiplicity 4)
Ge1 0.0000 0.2749 0.0000 (multiplicity 4)

=====

Entry 7:
This record from the Alexandria database describes crystalline Pm2HoSb3 at its relaxed geometry. The functional is PBE-GGA.

Results
Formation energy without anion corrections ... -1.159 eV per atom
M_tot ... 0.00 μB/cell

a = 7.7136 Å, b = 13.3611 Å, c = 7.7064 Å
α = 90.00°, β = 109.49°, γ = 90.00°
Space group C2/m (No. 12)
Unique sites:
Pm1 0.0000 0.0000 0.0000 (multiplicity 2)
Pm2 0.0000 0.1649 0.5000 (multiplicity 4)
Pm3 0.0000 0.5000 0.5000 (multiplicity 2)
Ho1 0.0000 0.3327 0.0000 (multiplicity 4)
Sb1 0.2430 0.5000 0.2432 (multiplicity 4)
Sb2 0.2493 0.3312 0.7549 (multiplicity 8)

=====

Entry 8:
This record from the Alexandria database describes crystalline GaReS3 at its relaxed geometry. The functional is PBE-GGA.

Results
Formation energy without anion corrections ... 0.156 eV per atom
M_tot ... 0.00 μB/cell
Distance to the lowest polymorph of the same formula ... 0 meV per atom

a = 4.6906 Å, b = 4.6906 Å, c = 4.6906 Å
α = 90.00°, β = 90.00°, γ = 90.00°
Space group Pm-3m (No. 221)
Unique sites:
Ga1 0.0000 0.0000 0.0000 (multiplicity 1)
Re1 0.5000 0.5000 0.5000 (multiplicity 1)
S1 0.0000 0.5000 0.5000 (multiplicity 3)

=====

Entry 9:
This record from the Alexandria database describes crystalline MgIr2Rh at its relaxed geometry. The functional is PBE-GGA.

Results
ΔH_f (0 K) ... -0.201 eV/atom
M_tot ... 0.00 μB/cell

a = 3.8975 Å, b = 3.8975 Å, c = 7.7315 Å
α = 90.00°, β = 90.00°, γ = 90.00°
Space group I-4m2 (No. 119)
Unique sites:
Mg1 0.0000 0.0000 0.0000 (multiplicity 2)
Ir1 0.0000 0.0000 0.5000 (multiplicity 2)
Ir2 0.0000 0.5000 0.2500 (multiplicity 2)
Rh1 0.0000 0.5000 0.7500 (multiplicity 2)

=====

Entry 10:
This record from the Alexandria database describes crystalline K3IrRu at its relaxed geometry. The functional is PBE-GGA.

Results
ΔH_f (0 K) ... 1.628 eV/atom
M_tot ... 4.00 μB/cell
Distance to the lowest polymorph of the same formula ... 0 meV per atom

a = 6.0968 Å, b = 6.0968 Å, c = 6.0968 Å
α = 90.00°, β = 90.00°, γ = 90.00°
Space group Pm-3m (No. 221)
Unique sites:
K1 0.0000 0.0000 0.5000 (multiplicity 3)
Ir1 0.0000 0.0000 0.0000 (multiplicity 1)
Ru1 0.5000 0.5000 0.5000 (multiplicity 1)

=====

Entry 11:
This record from the Alexandria database describes crystalline TbNd2YS6 at its relaxed geometry. The functional is PBE-GGA.

Results
Formation energy without anion corrections ... -2.037 eV per atom
M_tot ... 0.00 μB/cell

a = 7.0722 Å, b = 7.0722 Å, c = 18.6683 Å
α = 90.00°, β = 90.00°, γ = 120.00°
Space group R3 (No. 146, hexagonal axes)
Unique sites:
Tb1 0.0000 0.0000 0.0000 (multiplicity 3)
Nd1 0.0000 0.0000 0.2942 (multiplicity 3)
Nd2 0.0000 0.0000 0.7944 (multiplicity 3)
Y1 0.0000 0.0000 0.4997 (multiplicity 3)
S1 0.0454 0.3613 0.0683 (multiplicity 9)
S2 0.0452 0.6851 0.5682 (multiplicity 9)

=====

Entry 12:
This record from the Alexandria database describes crystalline Tb2Pr3PaAs6 at its relaxed geometry. The functional is PBE-GGA.

Results
ΔH_f (0 K) ... -1.456 eV/atom
M_tot ... 0.00 μB/cell

a = 7.2786 Å, b = 12.6076 Å, c = 7.3117 Å
α = 90.00°, β = 109.33°, γ = 90.00°
Space group C2/m (No. 12)
Unique sites:
Tb1 0.0000 0.1662 0.0000 (multiplicity 4)
Pr1 0.0000 0.0000 0.5000 (multiplicity 2)
Pr2 0.0000 0.3316 0.5000 (multiplicity 4)
Pa1 0.0000 0.5000 0.0000 (multiplicity 2)
As1 0.2422 0.3363 0.2361 (multiplicity 8)
As2 0.2481 0.5000 0.7640 (multiplicity 4)

=====

Entry 13:
This record from the Alexandria database describes crystalline Pr3Y6Er2Tm at its relaxed geometry. The functional is PBE-GGA.

Results
ΔH_f (0 K) ... 0.023 eV/atom
M_tot ... 0.00 μB/cell

a = 6.2285 Å, b = 10.7812 Å, c = 11.8629 Å
α = 90.00°, β = 100.05°, γ = 90.00°
Space group C2/m (No. 12)
Unique sites:
Pr1 0.0000 0.0000 0.0000 (multiplicity 2)
Pr2 0.0000 0.3333 0.0000 (multiplicity 4)
Y1 0.2481 0.0000 0.7447 (multiplicity 4)
Y2 0.2479 0.3334 0.7447 (multiplicity 8)
Er1 0.0000 0.1666 0.5000 (multiplicity 4)
Tm1 0.0000 0.5000 0.5000 (multiplicity 2)

=====

Entry 14:
This record from the Alexandria database describes crystalline InHg2Pd2 at its relaxed geometry. The functional is PBE-GGA.

Results
ΔH_f (0 K) ... -0.024 eV/atom
M_tot ... 0.00 μB/cell
Distance to the lowest polymorph of the same formula ... 178 meV per atom

a = 3.9238 Å, b = 3.9238 Å, c = 13.7698 Å
α = 90.00°, β = 90.00°, γ = 90.00°
Space group I4/mmm (No. 139)
Unique sites:
In1 0.0000 0.0000 0.0000 (multiplicity 2)
Hg1 0.0000 0.5000 0.2500 (multiplicity 4)
Pd1 0.0000 0.0000 0.4051 (multiplicity 4)

=====

Entry 15:
This record from the Alexandria database describes crystalline Ir3Os at its relaxed geometry. The functional is PBE-GGA.

Results
ΔH_f (0 K) ... 0.036 eV/atom
M_tot ... 0.00 μB/cell

a = 2.7502 Å, b = 2.7502 Å, c = 8.8613 Å
α = 90.00°, β = 90.00°, γ = 120.00°
Space group P-6m2 (No. 187)
Unique sites:
Ir1 0.0000 0.0000 0.0000 (multiplicity 1)
Ir2 0.6667 0.3333 0.2554 (multiplicity 2)
Os1 0.0000 0.0000 0.5000 (multiplicity 1)

=====

Entry 16:
This record from the Alexandria database describes crystalline Mg5Ag at its relaxed geometry. The functional is PBE-GGA.

Results
ΔH_f (0 K) ... -0.049 eV/atom
M_tot ... 0.00 μB/cell

a = 5.0312 Å, b = 3.1846 Å, c = 15.9141 Å
α = 90.00°, β = 90.00°, γ = 90.00°
Space group Amm2 (No. 38)
Unique sites:
Mg1 0.0000 0.0000 0.0000 (multiplicity 2)
Mg2 0.0000 0.0000 0.3199 (multiplicity 2)
Mg3 0.5000 0.0000 0.1123 (multiplicity 2)
Mg4 0.5000 0.0000 0.4404 (multiplicity 2)
Mg5 0.5000 0.0000 0.7746 (multiplicity 2)
Ag1 0.0000 0.0000 0.6619 (multiplicity 2)

=====

Entry 17:
This record from the Alexandria database describes crystalline Li2YBr at its relaxed geometry. The functional is PBE-GGA.

Results
Formation energy without anion corrections ... -0.514 eV per atom
M_tot ... 0.00 μB/cell
Distance to the lowest polymorph of the same formula ... 21 meV per atom

a = 3.8588 Å, b = 5.8241 Å, c = 8.9569 Å
α = 90.00°, β = 90.00°, γ = 90.00°
Space group Cmmm (No. 65)
Unique sites:
Li1 0.0000 0.0000 0.1867 (multiplicity 4)
Y1 0.0000 0.5000 0.5000 (multiplicity 2)
Br1 0.0000 0.5000 0.0000 (multiplicity 2)

=====

Entry 18:
This record from the Alexandria database describes crystalline Tc2IrAu at its relaxed geometry. The functional is PBE-GGA.

Results
ΔH_f (0 K) ... 0.248 eV/atom
M_tot ... 0.00 μB/cell
Distance to the lowest polymorph of the same formula ... 143 meV per atom

a = 3.8483 Å, b = 3.8483 Å, c = 8.1970 Å
α = 90.00°, β = 90.00°, γ = 90.00°
Space group I4/mmm (No. 139)
Unique sites:
Tc1 0.0000 0.5000 0.2500 (multiplicity 4)
Ir1 0.0000 0.0000 0.0000 (multiplicity 2)
Au1 0.0000 0.0000 0.5000 (multiplicity 2)

=====

Entry 19:
This record from the Alexandria database describes crystalline PmPrI2 at its relaxed geometry. The functional is PBE-GGA.

Results
Formation energy without anion corrections ... -0.868 eV per atom
M_tot ... 0.00 μB/cell
Distance to the lowest polymorph of the same formula ... 0 meV per atom

a = 3.8974 Å, b = 3.8974 Å, c = 29.3363 Å
α = 90.00°, β = 90.00°, γ = 120.00°
Space group R3m (No. 160, hexagonal axes)
Unique sites:
Pm1 0.0000 0.0000 0.0000 (multiplicity 3)
Pr1 0.0000 0.0000 0.1631 (multiplicity 3)
I1 0.0000 0.0000 0.4141 (multiplicity 3)
I2 0.0000 0.0000 0.5830 (multiplicity 3)

=====

Entry 20:
This record from the Alexandria database describes crystalline BeCoCu at its relaxed geometry. The functional is PBE-GGA.

Results
ΔH_f (0 K) ... -0.058 eV/atom
M_tot ... 1.92 μB/cell
Distance to the lowest polymorph of the same formula ... 28 meV per atom

a = 2.5591 Å, b = 2.5591 Å, c = 9.1379 Å
α = 90.00°, β = 90.00°, γ = 90.00°
Space group I4mm (No. 107)
Unique sites:
Be1 0.0000 0.0000 0.0000 (multiplicity 2)
Co1 0.0000 0.0000 0.3554 (multiplicity 2)
Cu1 0.0000 0.0000 0.6602 (multiplicity 2)

=====

Entry 21:
This record from the Alexandria database describes crystalline SmB3C2 at its relaxed geometry. The functional is PBE-GGA.

Results
ΔH_f (0 K) ... 0.182 eV/atom
M_tot ... 0.00 μB/cell

a = 11.2817 Å, b = 2.8851 Å, c = 7.5249 Å
α = 90.00°, β = 118.21°, γ = 90.00°
Space group C2/m (No. 12)
Unique sites:
Sm1 0.1362 0.0000 0.0323 (multiplicity 4)
B1 0.1069 0.5000 0.7152 (multiplicity 4)
B2 0.1117 0.0000 0.4161 (multiplicity 4)
B3 0.2197 0.5000 0.3959 (multiplicity 4)
C1 0.0464 0.5000 0.2937 (multiplicity 4)
C2 0.1599 0.0000 0.6696 (multiplicity 4)

=====

Entry 22:
This record from the Alexandria database describes crystalline SrSnPb3 at its relaxed geometry. The functional is PBE-GGA.

Results
ΔH_f (0 K) ... 0.780 eV/atom
M_tot ... 0.77 μB/cell
Distance to the lowest polymorph of the same formula ... 1002 meV per atom

a = 6.0299 Å, b = 6.0299 Å, c = 6.0299 Å
α = 90.00°, β = 90.00°, γ = 90.00°
Space group Pm-3m (No. 221)
Unique sites:
Sr1 0.0000 0.0000 0.0000 (multiplicity 1)
Sn1 0.5000 0.5000 0.5000 (multiplicity 1)
Pb1 0.0000 0.0000 0.5000 (multiplicity 3)

=====

Entry 23:
This record from the Alexandria database describes crystalline YTa2Mn at its relaxed geometry. The functional is PBE-GGA.

Results
ΔH_f (0 K) ... 0.202 eV/atom
M_tot ... 0.00 μB/cell
Distance to the lowest polymorph of the same formula ... 0 meV per atom

a = 3.1650 Å, b = 3.1650 Å, c = 7.5479 Å
α = 90.00°, β = 90.00°, γ = 90.00°
Space group P4mm (No. 99)
Unique sites:
Y1 0.0000 0.0000 0.0000 (multiplicity 1)
Ta1 0.0000 0.0000 0.4383 (multiplicity 1)
Ta2 0.5000 0.5000 0.6824 (multiplicity 1)
Mn1 0.5000 0.5000 0.2686 (multiplicity 1)

=====

Entry 24:
This record from the Alexandria database describes crystalline Cd3Pt at its relaxed geometry. The functional is PBE-GGA.

Results
ΔH_f (0 K) ... -0.192 eV/atom
M_tot ... 0.00 μB/cell

a = 6.0838 Å, b = 6.0838 Å, c = 4.8012 Å
α = 90.00°, β = 90.00°, γ = 120.00°
Space group P6_3/mmc (No. 194)
Unique sites:
Cd1 0.1713 0.3426 0.2500 (multiplicity 6)
Pt1 0.3333 0.6667 0.7500 (multiplicity 2)

=====

Entry 25:
This record from the Alexandria database describes crystalline ReOs3F at its relaxed geometry. The functional is PBE-GGA.

Results
Formation energy without anion corrections ... 1.618 eV per atom
M_tot ... 0.71 μB/cell
Distance to the lowest polymorph of the same formula ... 0 meV per atom

a = 4.1601 Å, b = 4.1601 Å, c = 4.1601 Å
α = 90.00°, β = 90.00°, γ = 90.00°
Space group Pm-3m (No. 221)
Unique sites:
Re1 0.0000 0.0000 0.0000 (multiplicity 1)
Os1 0.0000 0.5000 0.5000 (multiplicity 3)
F1 0.5000 0.5000 0.5000 (multiplicity 1)

=====

Entry 26:
This record from the Alexandria database describes crystalline Ag2RuCl7 at its relaxed geometry. The functional is PBE-GGA.

Results
Formation energy without anion corrections ... -0.308 eV per atom
M_tot ... 1.99 μB/cell

a = 16.7965 Å, b = 7.6135 Å, c = 11.7035 Å
α = 90.00°, β = 126.52°, γ = 90.00°
Space group C2/c (No. 15)
Unique sites:
Ag1 0.0684 0.1952 0.1274 (multiplicity 8)
Ru1 0.0000 0.2610 0.7500 (multiplicity 4)
Cl1 0.0000 0.0703 0.2500 (multiplicity 4)
Cl2 0.0875 0.4887 0.2454 (multiplicity 8)
Cl3 0.0989 0.1543 0.6724 (multiplicity 8)
Cl4 0.1376 0.2538 0.9951 (multiplicity 8)

=====

no.,V (Å³/atom)
1,16.5
2,19.9
3,14.0
4,17.7
5,15.7
6,20.0
7,31.2
8,20.6
9,14.7
10,45.3
11,27.0
12,26.4
13,32.7
14,21.2
15,14.5
16,21.2
17,25.2
18,15.2
19,32.2
20,10.0
21,9.0
22,43.8
23,18.9
24,19.2
25,14.4
26,30.1